1.
This record from Alexandria via LeMat-Bulk describes a geometry-optimized OsCl structure. The functional is GGA-PBE.

Energy relative to the elements, uncorrected ... 483 meV/atom
E ... -6.05 eV per atom

Lattice parameters (Å, degrees): 2.840 3.439 9.045 90.00 97.17 90.00
Fractional coordinates of all 4 atoms:
1 Os 0.035 0.250 0.087
2 Os 0.965 0.750 0.913
3 Cl 0.120 0.750 0.302
4 Cl 0.880 0.250 0.698

2.
This record from Alexandria via LeMat-Bulk describes a geometry-optimized MnCrRu4 structure. The functional is GGA-PBE.

E ... -8.82 eV per atom
Energy relative to the elements ... 0.499 eV per atom

Lattice parameters (Å, degrees): 5.070 5.070 5.070 60.00 60.00 60.00
Fractional coordinates of all 6 atoms:
1 Mn 0.000 0.000 0.000
2 Cr 0.750 0.750 0.750
3 Ru 0.375 0.375 0.375
4 Ru 0.375 0.375 0.875
5 Ru 0.375 0.875 0.375
6 Ru 0.875 0.375 0.375

3.
This record from Alexandria via LeMat-Bulk describes a geometry-optimized RbVBi structure. The functional is GGA-PBE.

E ... -4.55 eV per atom
Energy relative to the elements ... 0.103 eV per atom

Lattice parameters (Å, degrees): 4.879 4.879 8.637 90.00 90.00 90.00
Fractional coordinates of all 6 atoms:
1 Rb 0.250 0.250 0.156
2 Rb 0.750 0.750 0.844
3 V 0.250 0.750 0.500
4 V 0.750 0.250 0.500
5 Bi 0.250 0.250 0.678
6 Bi 0.750 0.750 0.322

4.
This record from Alexandria via LeMat-Bulk describes a geometry-optimized ZrPaCoIr structure. The functional is GGA-PBE.

E ... -8.89 eV per atom
Energy relative to the elements ... -0.384 eV per atom

Lattice parameters (Å, degrees): 6.673 6.673 6.673 90.00 90.00 90.00
Fractional coordinates of all 16 atoms:
1 Zr 0.000 0.000 0.000
2 Zr 0.000 0.500 0.500
3 Zr 0.500 0.000 0.500
4 Zr 0.500 0.500 0.000
5 Pa 0.000 0.000 0.500
6 Pa 0.000 0.500 0.000
7 Pa 0.500 0.000 0.000
8 Pa 0.500 0.500 0.500
9 Co 0.250 0.250 0.750
10 Co 0.250 0.750 0.250
11 Co 0.750 0.250 0.250
12 Co 0.750 0.750 0.750
13 Ir 0.250 0.250 0.250
14 Ir 0.250 0.750 0.750
15 Ir 0.750 0.250 0.750
16 Ir 0.750 0.750 0.250

5.
This record from Alexandria via LeMat-Bulk describes a geometry-optimized AsAuSe2O structure. The functional is GGA-PBE.

Energy relative to the elements, uncorrected ... 1316 meV/atom
E ... -2.65 eV per atom

Lattice parameters (Å, degrees): 5.057 5.057 5.047 90.00 90.00 90.00
Fractional coordinates of all 5 atoms:
1 As 0.000 0.000 0.000
2 Au 0.000 0.000 0.500
3 Se 0.000 0.500 0.500
4 Se 0.500 0.000 0.500
5 O 0.500 0.500 0.000

6.
This record from Alexandria via LeMat-Bulk describes a geometry-optimized KMgP structure. The functional is GGA-PBE.

E ... -2.90 eV per atom
Energy relative to the elements ... -0.201 eV per atom

Lattice parameters (Å, degrees): 3.731 3.731 11.993 90.00 90.00 90.00
Fractional coordinates of all 6 atoms:
1 K 0.000 0.000 0.000
2 K 0.500 0.500 0.500
3 Mg 0.000 0.000 0.257
4 Mg 0.500 0.500 0.757
5 P 0.000 0.000 0.727
6 P 0.500 0.500 0.227

7.
This record from Alexandria via LeMat-Bulk describes a geometry-optimized RbCd3Pt structure. The functional is GGA-PBE.

E ... -2.07 eV per atom
Energy relative to the elements ... -0.115 eV per atom

Lattice parameters (Å, degrees): 6.654 6.248 7.292 90.00 116.90 90.00
Fractional coordinates of all 10 atoms:
1 Rb 0.159 0.250 0.112
2 Rb 0.841 0.750 0.888
3 Cd 0.236 0.505 0.672
4 Cd 0.236 0.995 0.672
5 Cd 0.379 0.750 0.384
6 Cd 0.621 0.250 0.616
7 Cd 0.764 0.005 0.328
8 Cd 0.764 0.495 0.328
9 Pt 0.428 0.750 0.032
10 Pt 0.572 0.250 0.968

8.
This record from Alexandria via LeMat-Bulk describes a geometry-optimized NaDyAgTe2 structure. The functional is GGA-PBE.

Energy relative to the elements, uncorrected ... -718 meV/atom
E ... -3.73 eV per atom

Lattice parameters (Å, degrees): 7.706 4.979 8.236 90.00 97.90 90.00
Fractional coordinates of all 10 atoms:
1 Na 0.000 0.123 0.250
2 Na 0.000 0.877 0.750
3 Dy 0.500 0.497 0.750
4 Dy 0.500 0.503 0.250
5 Ag 0.500 0.000 0.000
6 Ag 0.500 0.000 0.500
7 Te 0.221 0.354 0.966
8 Te 0.221 0.646 0.466
9 Te 0.779 0.354 0.534
10 Te 0.779 0.646 0.034

Number 1: density of states at the Fermi level 2.30 states/eV per cell. Number 2: density of states at the Fermi level 10.31 states/eV per cell. Number 3: density of states at the Fermi level 1.95 states/eV per cell. Number 4: density of states at the Fermi level 28.19 states/eV per cell. Number 5: density of states at the Fermi level 11.28 states/eV per cell. Number 6: density of states at the Fermi level 2.33 states/eV per cell. Number 7: density of states at the Fermi level 4.29 states/eV per cell. Number 8: density of states at the Fermi level 4.81 states/eV per cell.